Entry 1:
A relaxed CeMg4Pb5 crystal, computed with GGA-PBE.

Lattice parameters (Å, degrees): 3.8324 3.8324 18.3673 90.00 90.00 90.00
Fractional coordinates of all 10 atoms:
Ce (0.0000, 0.0000, 0.0000)
Mg (0.0000, 0.0000, 0.2079)
Mg (0.0000, 0.0000, 0.4023)
Mg (0.0000, 0.0000, 0.5977)
Mg (0.0000, 0.0000, 0.7921)
Pb (0.5000, 0.5000, 0.1160)
Pb (0.5000, 0.5000, 0.3059)
Pb (0.5000, 0.5000, 0.5000)
Pb (0.5000, 0.5000, 0.6941)
Pb (0.5000, 0.5000, 0.8840)

## Properties
**Calculated density**: 7.8 g/cm³
**M_tot**: 1.48 μB/cell
**Space group**: P4/mmm
**Formation energy**: -0.093 eV/atom



Entry 2:
A relaxed Ce2Mg3Pb2 crystal, computed with GGA-PBE.

Lattice parameters (Å, degrees): 8.0575 8.0575 8.0575 109.47 109.47 109.47
Fractional coordinates of all 14 atoms:
Ce (0.0000, 0.7941, 0.5000)
Ce (0.5000, 0.0000, 0.7941)
Ce (0.7059, 0.7059, 0.7059)
Ce (0.7941, 0.5000, 0.0000)
Mg (0.1873, 0.7500, 0.9373)
Mg (0.2500, 0.5627, 0.3127)
Mg (0.3127, 0.2500, 0.5627)
Mg (0.5627, 0.3127, 0.2500)
Mg (0.7500, 0.9373, 0.1873)
Mg (0.9373, 0.1873, 0.7500)
Pb (0.0000, 0.4011, 0.5000)
Pb (0.0989, 0.0989, 0.0989)
Pb (0.4011, 0.5000, 0.0000)
Pb (0.5000, 0.0000, 0.4011)

## Properties
**Calculated density**: 6.3 g/cm³
**M_tot**: 6.83 μB/cell
**Space group**: I2_13
**Formation energy**: 0.144 eV/atom



Entry 3:
A relaxed Ce3Mg5Pb12 crystal, computed with GGA-PBE.

Lattice parameters (Å, degrees): 15.5911 15.5911 15.5911 109.47 109.47 109.47
Fractional coordinates of all 80 atoms:
Ce (0.1250, 0.2500, 0.3750)
Ce (0.1250, 0.3750, 0.7500)
Ce (0.2500, 0.3750, 0.1250)
Ce (0.2500, 0.8750, 0.6250)
Ce (0.3750, 0.1250, 0.2500)
Ce (0.3750, 0.7500, 0.1250)
Ce (0.6250, 0.2500, 0.8750)
Ce (0.6250, 0.8750, 0.7500)
Ce (0.7500, 0.1250, 0.3750)
Ce (0.7500, 0.6250, 0.8750)
Ce (0.8750, 0.6250, 0.2500)
Ce (0.8750, 0.7500, 0.6250)
Mg (0.0000, 0.0000, 0.0000)
Mg (0.0000, 0.0000, 0.5000)
Mg (0.0000, 0.5000, 0.0000)
Mg (0.0000, 0.5000, 0.5000)
Mg (0.1250, 0.7500, 0.8750)
Mg (0.1250, 0.8750, 0.2500)
Mg (0.2500, 0.1250, 0.8750)
Mg (0.2500, 0.6250, 0.3750)
Mg (0.3750, 0.2500, 0.6250)
Mg (0.3750, 0.6250, 0.7500)
Mg (0.5000, 0.0000, 0.0000)
Mg (0.5000, 0.0000, 0.5000)
Mg (0.5000, 0.5000, 0.0000)
Mg (0.5000, 0.5000, 0.5000)
Mg (0.6250, 0.3750, 0.2500)
Mg (0.6250, 0.7500, 0.3750)
Mg (0.7500, 0.3750, 0.6250)
Mg (0.7500, 0.8750, 0.1250)
Mg (0.8750, 0.1250, 0.7500)
Mg (0.8750, 0.2500, 0.1250)
Pb (0.0620, 0.2229, 0.1371)
Pb (0.0620, 0.3391, 0.9248)
Pb (0.0752, 0.6371, 0.4142)
Pb (0.0752, 0.9380, 0.6609)
Pb (0.0858, 0.7229, 0.6609)
Pb (0.0858, 0.8629, 0.4248)
Pb (0.1371, 0.0620, 0.2229)
Pb (0.1371, 0.5752, 0.9142)
Pb (0.1609, 0.2229, 0.5858)
Pb (0.1609, 0.4380, 0.5752)
Pb (0.2229, 0.1371, 0.0620)
Pb (0.2229, 0.5858, 0.1609)
Pb (0.2771, 0.3391, 0.9142)
Pb (0.2771, 0.4380, 0.3629)
Pb (0.3391, 0.9142, 0.2771)
Pb (0.3391, 0.9248, 0.0620)
Pb (0.3629, 0.2771, 0.4380)
Pb (0.3629, 0.5858, 0.9248)
Pb (0.4142, 0.0752, 0.6371)
Pb (0.4142, 0.8391, 0.7771)
Pb (0.4248, 0.0858, 0.8629)
Pb (0.4248, 0.8391, 0.5620)
Pb (0.4380, 0.3629, 0.2771)
Pb (0.4380, 0.5752, 0.1609)
Pb (0.5620, 0.4248, 0.8391)
Pb (0.5620, 0.6371, 0.7229)
Pb (0.5752, 0.1609, 0.4380)
Pb (0.5752, 0.9142, 0.1371)
Pb (0.5858, 0.1609, 0.2229)
Pb (0.5858, 0.9248, 0.3629)
Pb (0.6371, 0.4142, 0.0752)
Pb (0.6371, 0.7229, 0.5620)
Pb (0.6609, 0.0752, 0.9380)
Pb (0.6609, 0.0858, 0.7229)
Pb (0.7229, 0.5620, 0.6371)
Pb (0.7229, 0.6609, 0.0858)
Pb (0.7771, 0.4142, 0.8391)
Pb (0.7771, 0.8629, 0.9380)
Pb (0.8391, 0.5620, 0.4248)
Pb (0.8391, 0.7771, 0.4142)
Pb (0.8629, 0.4248, 0.0858)
Pb (0.8629, 0.9380, 0.7771)
Pb (0.9142, 0.1371, 0.5752)
Pb (0.9142, 0.2771, 0.3391)
Pb (0.9248, 0.0620, 0.3391)
Pb (0.9248, 0.3629, 0.5858)
Pb (0.9380, 0.6609, 0.0752)
Pb (0.9380, 0.7771, 0.8629)

## Properties
**Calculated density**: 6.9 g/cm³
**M_tot**: 11.82 μB/cell
**Space group**: Ia-3d
**Formation energy**: 0.178 eV/atom



Entry 4:
A relaxed Ce4MgPb crystal, computed with GGA-PBE.

Lattice parameters (Å, degrees): 8.0606 9.6186 5.2944 90.00 130.79 90.00
Fractional coordinates of all 12 atoms:
Ce (0.2487, 0.1790, 0.2209)
Ce (0.2487, 0.8210, 0.2209)
Ce (0.2513, 0.3210, 0.7791)
Ce (0.2513, 0.6790, 0.7791)
Ce (0.7487, 0.3210, 0.2209)
Ce (0.7487, 0.6790, 0.2209)
Ce (0.7513, 0.1790, 0.7791)
Ce (0.7513, 0.8210, 0.7791)
Mg (0.0000, 0.0000, 0.5000)
Mg (0.5000, 0.5000, 0.5000)
Pb (0.0000, 0.5000, 0.0000)
Pb (0.5000, 0.0000, 0.0000)

## Properties
**Calculated density**: 8.5 g/cm³
**M_tot**: 3.13 μB/cell
**Space group**: C2/m
**Formation energy**: -0.106 eV/atom